[1]
Material: HoP3Ir6
Method: DFT, PBE-GGA
State: optimized geometry

Output
E_form: -516 meV/atom
ρ: 14.89 Mg/m³
symmetry: No. 1

Cell: 5.4901 5.5355 6.5168 Å, 66.89 70.62 61.37°
With the nearest neighbours (Å) after each atom.
Atoms (fractional coordinates):
Ho (0.0000, 0.0000, 0.0000)  7 Ir 2.87-3.22, 5 P 2.95-3.12
P (0.1809, 0.3640, 0.1355)  5 Ir 2.31-2.41
P (0.5804, 0.7093, 0.1385)  5 Ir 2.25-2.37
P (0.7934, 0.9248, 0.4904)  5 Ir 2.27-2.44
Ir (0.0605, 0.5403, 0.7814)  2 P 2.31-2.44
Ir (0.2383, 0.9346, 0.4164)  3 P 2.31-2.37
Ir (0.4074, 0.3627, 0.3918)  3 P 2.35-2.39
Ir (0.5219, 0.5375, 0.8849)  2 P 2.36-2.37
Ir (0.5605, 0.0647, 0.8118)  2 P 2.25-2.27
Ir (0.8122, 0.5291, 0.4377)  3 P 2.30-2.41

=====

[2]
Material: HoP2Ir5Pt
Method: DFT, PBE-GGA
State: optimized geometry

Output
E_form: -329 meV/atom
ρ: 14.01 Mg/m³
symmetry: No. 123

Cell: 3.9431 3.9431 10.5404 Å, 90.00 90.00 90.00°
With the nearest neighbours (Å) after each atom.
Atoms (fractional coordinates):
Ho (0.0000, 0.0000, 0.0000)  4 Ir 2.79
P (0.5000, 0.5000, 0.2169)  5 Ir 2.29-2.31
P (0.5000, 0.5000, 0.7831)  5 Ir 2.29-2.31
Ir (0.0000, 0.5000, 0.3305)  2 P 2.31
Ir (0.0000, 0.5000, 0.6695)  2 P 2.31
Ir (0.5000, 0.0000, 0.3305)  2 P 2.31
Ir (0.5000, 0.0000, 0.6695)  2 P 2.31
Ir (0.5000, 0.5000, 0.0000)  2 P 2.29
Pt (0.0000, 0.0000, 0.5000)  8 Ir 2.66